No. 1
Here is Tb8Nd2Mg after structural relaxation from the Alexandria database. Energies are from GGA-PBE.

Calculated values
E above lowest polymorph ... 0.00 eV/f.u.
Energy of formation ... 108 meV/atom
Fermi-level density of states ... 18.69 states/eV/f.u.

Lattice parameters (Å, degrees): 5.5414 7.7477 16.7776 90.00 90.00 90.00
With the nearest neighbours (Å) after each atom.
Space group Immm (No. 71)
Unique sites:
Tb (0.0000, 0.0000, 0.1735)  4 Nd 3.53-3.89, 8 Tb 3.58-3.64
Tb (0.0000, 0.2206, 0.3653)  1 Mg 3.13, 2 Nd 3.41, 1 Tb 3.42
Tb (0.0000, 0.2693, 0.0000)  2 Mg 3.47, 7 Tb 3.57-3.58, 2 Nd 3.74
Nd (0.0000, 0.5000, 0.1958)  10 Tb 3.41-3.74
Mg (0.0000, 0.5000, 0.5000)  8 Tb 3.13-3.47

=====

No. 2
Here is TbTmSc after structural relaxation from the Alexandria database. Energies are from GGA-PBE.

Calculated values
E above lowest polymorph ... 0.00 eV/f.u.
Energy of formation ... 45 meV/atom
Fermi-level density of states ... 4.50 states/eV/f.u.

Lattice parameters (Å, degrees): 3.4519 3.4519 14.4682 90.00 90.00 90.00
With the nearest neighbours (Å) after each atom.
Space group I4mm (No. 107)
Unique sites:
Tb (0.0000, 0.0000, 0.0000)  4 Sc 3.40, 4 Tb 3.45, 4 Tm 3.53
Tm (0.0000, 0.0000, 0.3241)  4 Sc 3.37, 4 Tm 3.45, 4 Tb 3.53
Sc (0.0000, 0.0000, 0.6631)  4 Tm 3.37, 4 Tb 3.40, 4 Sc 3.45

=====

No. 3
Here is SrSm3Y2Te6 after structural relaxation from the Alexandria database. Energies are from GGA-PBE.

Calculated values
Fermi-level density of states ... 5.81 states/eV/f.u.
ΔE_f (raw) ... -16.81 eV/f.u.

Lattice parameters (Å, degrees): 19.4491 4.4503 8.9608 90.00 103.83 90.00
With the nearest neighbours (Å) after each atom.
Space group C2/m (No. 12)
Unique sites:
Sr (0.0000, 0.0000, 0.0000)  6 Te 3.19-3.24
Sm (0.0000, 0.0000, 0.5000)  6 Te 3.12-3.15
Sm (0.1619, 0.5000, 0.8177)  6 Te 3.12-3.25
Y (0.1700, 0.5000, 0.3412)  6 Te 3.07-3.19
Te (0.0051, 0.5000, 0.2582)  1 Y 3.12, 3 Sm 3.12-3.16, 2 Sr 3.19
Te (0.1668, 0.0000, 0.5762)  3 Y 3.07-3.08, 3 Sm 3.12-3.15
Te (0.1714, 0.0000, 0.0865)  3 Sm 3.15-3.25, 2 Y 3.19, 1 Sr 3.24

=====

No. 4
Here is Zr4Ta after structural relaxation from the Alexandria database. Energies are from GGA-PBE.

Calculated values
E above lowest polymorph ... 3.82 eV/f.u.
Energy of formation ... 899 meV/atom
Fermi-level density of states ... 6.05 states/eV/f.u.

Lattice parameters (Å, degrees): 5.1114 5.1114 5.1114 90.00 90.00 90.00
With the nearest neighbours (Å) after each atom.
Space group Pm-3m (No. 221)
Unique sites:
Zr (0.0000, 0.0000, 0.0000)  12 Zr 3.61
Zr (0.0000, 0.5000, 0.5000)  2 Ta 2.56
Ta (0.5000, 0.5000, 0.5000)  6 Zr 2.56

=====

No. 5
Here is FeReSe after structural relaxation from the Alexandria database. Energies are from GGA-PBE.

Calculated values
E above lowest polymorph ... 0.00 eV/f.u.
Fermi-level density of states ... 3.28 states/eV/f.u.
ΔE_f (raw) ... 1.17 eV/f.u.

Lattice parameters (Å, degrees): 2.9024 2.9024 5.9451 90.00 90.00 120.00
With the nearest neighbours (Å) after each atom.
Space group P3m1 (No. 156)
Unique sites:
Fe (0.0000, 0.0000, 0.0000)  3 Re 2.56, 3 Se 2.57
Re (0.6667, 0.3333, 0.3256)  3 Fe 2.56, 3 Se 2.66
Se (0.3333, 0.6667, 0.6722)  3 Fe 2.57, 3 Re 2.66

=====

No. 6
Here is CaTbPm2Bi4 after structural relaxation from the Alexandria database. Energies are from GGA-PBE.

Calculated values
Energy of formation ... -842 meV/atom
Fermi-level density of states ... 3.74 states/eV/f.u.

Lattice parameters (Å, degrees): 7.9040 4.5452 7.9478 90.00 109.25 90.00
With the nearest neighbours (Å) after each atom.
Space group P2/m (No. 10)
Unique sites:
Ca (0.0000, 0.0000, 0.0000)  6 Bi 3.23-3.24
Tb (0.0000, 0.5000, 0.5000)  6 Bi 3.20
Pm (0.5000, 0.0000, 0.5000)  6 Bi 3.22-3.23
Pm (0.5000, 0.5000, 0.0000)  6 Bi 3.25-3.26
Bi (0.2463, 0.0000, 0.7459)  2 Tb 3.20, 3 Pm 3.23-3.25, 1 Ca 3.23
Bi (0.2494, 0.5000, 0.2535)  1 Tb 3.20, 3 Pm 3.22-3.26, 2 Ca 3.24

=====

No. 7
Here is NdHoMoN3 after structural relaxation from the Alexandria database. Energies are from GGA-PBE.

Calculated values
Fermi-level density of states ... 1.80 states/eV/f.u.
ΔE_f (raw) ... -7.17 eV/f.u.

Lattice parameters (Å, degrees): 5.8522 3.3594 8.5068 90.00 103.31 90.00
With the nearest neighbours (Å) after each atom.
Space group P2_1/m (No. 11)
Unique sites:
Nd (0.1398, 0.2500, 0.1890)  7 N 2.43-2.61
Ho (0.2668, 0.7500, 0.5532)  6 N 2.39-2.44
Mo (0.3911, 0.2500, 0.8794)  5 N 2.13-2.25
N (0.0719, 0.2500, 0.6735)  1 Mo 2.25, 3 Ho 2.39-2.43
N (0.2539, 0.7500, 0.9846)  3 Mo 2.13-2.14
N (0.4549, 0.7500, 0.3249)  1 Mo 2.13

=====

No. 8
Here is BaTeH after structural relaxation from the Alexandria database. Energies are from GGA-PBE.

Lattice parameters (Å, degrees): 8.4710 10.0776 8.5314 90.00 90.00 90.00
With the nearest neighbours (Å) after each atom.
Space group Cmce (No. 64)
Unique sites:
Ba (0.2500, 0.0995, 0.2500)  4 H 3.12-3.27, 2 Te 3.41
Te (0.0000, 0.1693, 0.5959)  1 H 3.08, 2 Ba 3.41
H (0.0000, 0.0380, 0.9922)  1 H 0.78

=====

Going through the records in order, we get total magnetization values of 0.000, 0.000, 0.000, 0.000, 1.570, 0.000, 0.000, 0.000 μB/f.u..
Going through the records in order, we get final energy values of -4.2711, -5.0997, -5.3688, -8.3097, -7.7425, -4.7996, -8.7202, -3.8520 eV per atom.